Entry 1:
Material: LaAgGe2
Method: DFT, PBE
State: optimized geometry

Cell lengths 9.580, 9.580, 9.580 Å; angles 151.15, 151.15, 41.25 degrees
Element x y z (fractional)
La 0.000 0.000 0.000
La 0.750 0.250 0.500
Ag 0.250 0.750 0.500
Ag 0.500 0.500 0.000
Ge 0.236 0.625 0.111
Ge 0.375 0.486 0.611
Ge 0.514 0.125 0.889
Ge 0.875 0.764 0.389

Results
DFT total energy: -4.498 eV/atom
energy relative to the elements: -245 meV/atom
symmetry: I-42d

Entry 2:
Material: Ba2SiGe3Au4
Method: DFT, PBE
State: optimized geometry

Cell lengths 4.639, 4.639, 10.748 Å; angles 90.00, 90.00, 90.00 degrees
Element x y z (fractional)
Ba 0.000 0.500 0.250
Ba 0.500 0.000 0.750
Si 0.000 0.000 0.500
Ge 0.000 0.500 0.870
Ge 0.500 0.000 0.130
Ge 0.500 0.500 0.500
Au 0.000 0.000 0.000
Au 0.000 0.500 0.616
Au 0.500 0.000 0.384
Au 0.500 0.500 0.000

Results
ΔE_f (raw): -0.48 eV per atom
DFT total energy: -4.098 eV/atom
symmetry: P-4m2

Entry 3:
Material: ScTcPt
Method: DFT, PBE
State: optimized geometry

Cell lengths 5.019, 5.019, 5.756 Å; angles 103.96, 103.96, 46.64 degrees
Element x y z (fractional)
Sc 0.000 0.000 0.000
Sc 0.665 0.665 0.773
Tc 0.336 0.336 0.604
Tc 0.952 0.952 0.480
Pt 0.319 0.319 0.104
Pt 0.650 0.650 0.296

Results
DFT total energy: -8.083 eV/atom
energy relative to the elements: -504 meV/atom
symmetry: Cm

Entry 4:
Material: ErMgAl2Pd2
Method: DFT, PBE
State: optimized geometry

Cell lengths 4.432, 4.432, 6.493 Å; angles 90.00, 90.00, 120.00 degrees
Element x y z (fractional)
Er 0.000 0.000 0.000
Mg 0.000 0.000 0.500
Al 0.333 0.667 0.706
Al 0.667 0.333 0.294
Pd 0.333 0.667 0.283
Pd 0.667 0.333 0.717

Results
DFT total energy: -4.732 eV/atom
energy relative to the elements: -727 meV/atom
symmetry: P-3m1

Entry 5:
Material: InPbS2I
Method: DFT, PBE
State: optimized geometry

Cell lengths 7.561, 5.649, 8.147 Å; angles 90.00, 92.52, 90.00 degrees
Element x y z (fractional)
In 0.089 0.250 0.146
In 0.911 0.750 0.854
Pb 0.200 0.250 0.621
Pb 0.800 0.750 0.379
S 0.052 0.750 0.134
S 0.088 0.750 0.605
S 0.912 0.250 0.395
S 0.948 0.250 0.866
I 0.448 0.250 0.236
I 0.552 0.750 0.764

Results
ΔE_f (raw): -0.53 eV per atom
DFT total energy: -3.785 eV/atom
symmetry: P2_1/m

Entry 6:
Material: Y2FeCl
Method: DFT, PBE
State: optimized geometry

Cell lengths 4.905, 4.905, 4.905 Å; angles 60.00, 60.00, 60.00 degrees
Element x y z (fractional)
Y 0.250 0.250 0.250
Y 0.750 0.750 0.750
Fe 0.000 0.000 0.000
Cl 0.500 0.500 0.500

Results
ΔE_f (raw): -0.09 eV per atom
DFT total energy: -5.899 eV/atom
symmetry: Fm-3m